Here is Tb5ScRh6 after structural relaxation from Alexandria. Energies are from PBE.

Results
energy relative to the elements	-856	meV per atom
density of states at the Fermi level	7.32	states/eV/cell

a = 7.5717 Å, b = 7.5717 Å, c = 6.9259 Å
α = 90.00°, β = 90.00°, γ = 143.25°
Element x y z (fractional)
1 Tb 0.0000 0.0000 0.0000
2 Tb 0.3337 0.6663 0.0000
3 Tb 0.3354 0.6646 0.5000
4 Tb 0.6646 0.3354 0.5000
5 Tb 0.6663 0.3337 0.0000
6 Sc 0.0000 0.0000 0.5000
7 Rh 0.1630 0.8370 0.2548
8 Rh 0.1630 0.8370 0.7452
9 Rh 0.5000 0.5000 0.2596
10 Rh 0.5000 0.5000 0.7404
11 Rh 0.8370 0.1630 0.2548
12 Rh 0.8370 0.1630 0.7452

=====

Here is TbSc2Rh after structural relaxation from Alexandria. Energies are from PBE.

Results
ΔE to the lowest computed polymorph	167.7	meV/atom
energy relative to the elements	-355	meV per atom
density of states at the Fermi level	2.52	states/eV/cell

a = 6.3464 Å, b = 6.3464 Å, c = 6.3464 Å
α = 40.78°, β = 40.78°, γ = 40.78°
Element x y z (fractional)
1 Tb 0.0000 0.0000 0.0000
2 Sc 0.5517 0.5517 0.5517
3 Sc 0.7865 0.7865 0.7865
4 Rh 0.1749 0.1749 0.1749

=====

Here is TbSc4Rh2 after structural relaxation from Alexandria. Energies are from PBE.

Results
energy relative to the elements	-535	meV per atom
density of states at the Fermi level	16.77	states/eV/cell

a = 7.4083 Å, b = 5.9044 Å, c = 7.6140 Å
α = 90.00°, β = 112.80°, γ = 90.00°
Element x y z (fractional)
1 Tb 0.0158 0.2500 0.1590
2 Tb 0.9842 0.7500 0.8410
3 Sc 0.2424 0.9995 0.5905
4 Sc 0.2424 0.5005 0.5905
5 Sc 0.3442 0.7500 0.2574
6 Sc 0.3911 0.2500 0.0135
7 Sc 0.6089 0.7500 0.9865
8 Sc 0.6558 0.2500 0.7426
9 Sc 0.7576 0.0005 0.4095
10 Sc 0.7576 0.4995 0.4095
11 Rh 0.0103 0.2500 0.7339
12 Rh 0.4200 0.2500 0.3713
13 Rh 0.5800 0.7500 0.6287
14 Rh 0.9897 0.7500 0.2661

=====

Here is TbSc5Rh4 after structural relaxation from Alexandria. Energies are from PBE.

Results
energy relative to the elements	-802	meV per atom
density of states at the Fermi level	5.94	states/eV/cell

a = 3.2312 Å, b = 3.2312 Å, c = 18.1958 Å
α = 90.00°, β = 90.00°, γ = 90.00°
Element x y z (fractional)
1 Tb 0.0000 0.0000 0.0000
2 Sc 0.5000 0.5000 0.1454
3 Sc 0.5000 0.5000 0.3215
4 Sc 0.5000 0.5000 0.5000
5 Sc 0.5000 0.5000 0.6785
6 Sc 0.5000 0.5000 0.8546
7 Rh 0.0000 0.0000 0.2306
8 Rh 0.0000 0.0000 0.4106
9 Rh 0.0000 0.0000 0.5894
10 Rh 0.0000 0.0000 0.7694